No. 1
Here is La2HfP3 after structural relaxation from Alexandria via LeMat-Bulk. Energies are from PBE.

Values from the calculation:
As for the total energy: -88.103 eV for the cell shown. Its total moment is 0.00 μB/atom.

Cell lengths 4.1012, 4.1012, 17.1592 Å; angles 90.00, 90.00, 90.00 degrees
Space group I4/mmm (No. 139)
Asymmetric unit:
La 0.0000 0.0000 0.1651 [4 per cell]
Hf 0.0000 0.0000 0.5000 [2 per cell]
P 0.0000 0.0000 0.0000 [2 per cell]
P 0.0000 0.0000 0.3459 [4 per cell]

***

No. 2
Here is LaHfP3 after structural relaxation from Alexandria via LeMat-Bulk. Energies are from PBE.

Values from the calculation:
Its total moment is 0.00 μB/atom. The polymorph energy (0 for the lowest one) is 1631.2 meV per atom.

Cell lengths 5.1518, 5.1518, 5.1518 Å; angles 90.00, 90.00, 90.00 degrees
Space group Pm-3m (No. 221)
Asymmetric unit:
La 0.0000 0.0000 0.0000 [1 per cell]
Hf 0.5000 0.5000 0.5000 [1 per cell]
P 0.0000 0.0000 0.5000 [3 per cell]

***

No. 3
Here is LaHfP3 after structural relaxation from Alexandria via LeMat-Bulk. Energies are from PBE.

Values from the calculation:
Its total moment is 0.00 μB/atom. The polymorph energy (0 for the lowest one) is 0.0 meV per atom.

Cell lengths 4.9465, 4.9465, 4.9465 Å; angles 90.00, 90.00, 90.00 degrees
Space group Pm-3m (No. 221)
Asymmetric unit:
La 0.0000 0.0000 0.0000 [1 per cell]
Hf 0.5000 0.5000 0.5000 [1 per cell]
P 0.0000 0.5000 0.5000 [3 per cell]

***

No. 4
Here is La3HfP4 after structural relaxation from Alexandria via LeMat-Bulk. Energies are from PBE.

Values from the calculation:
As for the total energy: -116.043 eV for the cell shown. Its total moment is 0.00 μB/atom.

Cell lengths 8.2730, 11.6170, 4.1006 Å; angles 90.00, 90.00, 90.00 degrees
Space group Cmmm (No. 65)
Asymmetric unit:
La 0.0000 0.0000 0.0000 [2 per cell]
La 0.2500 0.2500 0.5000 [4 per cell]
Hf 0.0000 0.5000 0.0000 [2 per cell]
P 0.0000 0.2653 0.0000 [4 per cell]
P 0.2246 0.5000 0.5000 [4 per cell]